Entry 1:
An optimized crystal structure of KSiIr2, computed with PBE.

Properties
- Space group: No. 44
- Uncorrected formation energy: 513 meV/atom

Cell lengths 6.0108, 6.0108, 6.0108 Å; angles 153.93, 128.82, 58.32 degrees
With the nearest neighbours (Å) after each atom.
Positions (direct):
Ir 0.0115 0.0115 0.0000  2 Si 2.43, 4 Ir 2.65-2.71
Ir 0.7945 0.2945 0.5000  4 Ir 2.65-2.71
K 0.4907 0.4907 0.0000  2 K 2.71, 4 Ir 2.94
Si 0.2033 0.7033 0.5000  2 Ir 2.43, 2 Si 2.71



Entry 2:
An optimized crystal structure of Y3Ni2Pt, computed with PBE.

Properties
- Space group: No. 62
- Energy relative to the elements: -611 meV/atom

Cell lengths 4.0134, 11.4040, 11.5002 Å; angles 90.00, 90.00, 90.00 degrees
With the nearest neighbours (Å) after each atom.
Positions (direct):
Y 0.2500 0.3784 0.0549  5 Ni 2.87-3.05, 1 Pt 2.98
Y 0.7500 0.6216 0.9451  5 Ni 2.87-3.05, 1 Pt 2.98
Y 0.7500 0.8784 0.4451  5 Ni 2.87-3.05, 1 Pt 2.98
Y 0.2500 0.1216 0.5549  5 Ni 2.87-3.05, 1 Pt 2.98
Y 0.2500 0.6855 0.2056  3 Ni 2.79-2.90, 2 Pt 2.89
Y 0.7500 0.3145 0.7944  3 Ni 2.79-2.90, 2 Pt 2.89
Y 0.7500 0.1855 0.2944  3 Ni 2.79-2.90, 2 Pt 2.89
Y 0.2500 0.8145 0.7056  3 Ni 2.79-2.90, 2 Pt 2.89
Y 0.2500 0.4370 0.3778  3 Pt 2.92-2.95, 5 Ni 2.93-3.25
Y 0.7500 0.5630 0.6222  3 Pt 2.92-2.95, 5 Ni 2.93-3.25
Y 0.7500 0.9370 0.1222  3 Pt 2.92-2.95, 5 Ni 2.93-3.25
Y 0.2500 0.0630 0.8778  3 Pt 2.92-2.95, 5 Ni 2.93-3.25
Ni 0.2500 0.6974 0.4924  2 Pt 2.54, 1 Y 2.79
Ni 0.7500 0.3026 0.5076  2 Pt 2.54, 1 Y 2.79
Ni 0.7500 0.1974 0.0076  2 Pt 2.54, 1 Y 2.79
Ni 0.2500 0.8026 0.9924  2 Pt 2.54, 1 Y 2.79
Ni 0.2500 0.0032 0.3168  1 Pt 2.63, 4 Y 2.87-2.90
Ni 0.7500 0.9968 0.6832  1 Pt 2.63, 4 Y 2.87-2.90
Ni 0.7500 0.5032 0.1832  1 Pt 2.63, 4 Y 2.87-2.90
Ni 0.2500 0.4968 0.8168  1 Pt 2.63, 4 Y 2.87-2.90
Pt 0.2500 0.1261 0.1237  3 Ni 2.54-2.63
Pt 0.7500 0.8739 0.8763  3 Ni 2.54-2.63
Pt 0.7500 0.6261 0.3763  3 Ni 2.54-2.63
Pt 0.2500 0.3739 0.6237  3 Ni 2.54-2.63



Entry 3:
An optimized crystal structure of ZrCoHg2, computed with PBE.

Properties
- Space group: No. 123
- Energy relative to the elements: 169 meV/atom

Cell lengths 4.1455, 4.1461, 4.4540 Å; angles 90.00, 90.00, 90.00 degrees
With the nearest neighbours (Å) after each atom.
Positions (direct):
Co 0.0000 0.5000 0.5000  4 Zr 2.93, 8 Hg 3.04
Hg 0.0000 0.0000 0.0000  4 Hg 2.93, 4 Zr 3.04, 4 Co 3.04
Hg 0.5000 0.5000 0.0000  4 Hg 2.93, 4 Co 3.04, 4 Zr 3.04
Zr 0.5000 0.0000 0.5000  4 Co 2.93, 8 Hg 3.04



DFT total energy? In order: -5.548 -6.777 -3.895 eV/atom.